[1]
A plane-wave DFT calculation with PBE was carried out for crystalline Sr2Be at its relaxed geometry.

Cell lengths 15.1727, 15.1727, 15.1727 Å; angles 165.61, 165.61, 20.40 degrees
Last column: nearest neighbours and their distance in Å.
Fractional coordinates of all 6 atoms:
Sr1 0.8108 0.3108 0.5000  4 Be 3.24, 1 Sr 3.63
Be1 0.2500 0.7500 0.5000  8 Sr 3.24
Sr2 0.6892 0.1892 0.5000  4 Be 3.24, 1 Sr 3.63
Be2 0.5000 0.5000 0.0000  8 Sr 3.24
Sr3 0.9392 0.9392 0.0000  4 Be 3.24, 1 Sr 3.63
Sr4 0.0608 0.0608 0.0000  4 Be 3.24, 1 Sr 3.63

Values from the calculation:
The formation enthalpy at 0 K comes out at 0.38 eV/atom. As for the symmetry: I4_1/amd. The distance to the lowest polymorph of the same formula is 7.4 kJ per mole of atoms.

=====

[2]
A plane-wave DFT calculation with PBE was carried out for crystalline Sr5Be at its relaxed geometry.

Cell lengths 7.3656, 7.3656, 10.0431 Å; angles 67.91, 67.91, 32.37 degrees
Last column: nearest neighbours and their distance in Å.
Fractional coordinates of all 6 atoms:
Sr1 0.9721 0.9721 0.5561  12 Sr 4.06-4.36
Sr2 0.3037 0.3037 0.3340  2 Be 3.55, 2 Sr 3.78-3.80
Be1 0.9734 0.9734 0.0535  8 Sr 3.21-3.55
Sr3 0.3498 0.3498 0.9347  2 Be 3.21
Sr4 0.6403 0.6403 0.7778  2 Be 3.51, 2 Sr 3.78-3.80
Sr5 0.5940 0.5940 0.1773  2 Be 3.21

Values from the calculation:
The formation enthalpy at 0 K comes out at 0.23 eV/atom. As for the symmetry: Cm. The distance to the lowest polymorph of the same formula is 3.2 kJ per mole of atoms.

=====

[3]
A plane-wave DFT calculation with PBE was carried out for crystalline SrBe2 at its relaxed geometry.

Cell lengths 4.9880, 4.9880, 5.9029 Å; angles 90.00, 90.00, 120.00 degrees
Last column: nearest neighbours and their distance in Å.
Fractional coordinates of all 6 atoms:
Be1 0.0000 0.0000 0.0000  8 Be 2.95-3.24, 6 Sr 3.24
Be2 0.0000 0.0000 0.5000  8 Be 2.95-3.24, 6 Sr 3.24
Be3 0.3333 0.6667 0.2500  5 Sr 2.88-2.95
Sr1 0.6667 0.3333 0.2500  5 Be 2.88-2.95
Be4 0.6667 0.3333 0.7500  5 Sr 2.88-2.95
Sr2 0.3333 0.6667 0.7500  5 Be 2.88-2.95

Values from the calculation:
The formation enthalpy at 0 K comes out at 0.92 eV/atom. As for the symmetry: P6_3/mmc. The distance to the lowest polymorph of the same formula is 61.7 kJ per mole of atoms.

=====

[4]
A plane-wave DFT calculation with PBE was carried out for crystalline Sr5Be at its relaxed geometry.

Cell lengths 6.9772, 6.9772, 6.3156 Å; angles 90.00, 90.00, 120.00 degrees
Last column: nearest neighbours and their distance in Å.
Fractional coordinates of all 6 atoms:
Sr1 0.3333 0.6667 0.5000  9 Sr 3.98-4.03, 3 Be 4.03
Sr2 0.3087 0.3087 0.0000  6 Sr 3.73-3.98, 2 Be 3.82
Sr3 0.0000 0.6913 0.0000  6 Sr 3.73-3.98, 2 Be 3.82
Sr4 0.6667 0.3333 0.5000  9 Sr 3.98-4.03, 3 Be 4.03
Be1 0.0000 0.0000 0.5000  12 Sr 3.82-4.03
Sr5 0.6913 0.0000 0.0000  6 Sr 3.73-3.98, 2 Be 3.82

Values from the calculation:
The formation enthalpy at 0 K comes out at 0.38 eV/atom. As for the symmetry: P-62m. The distance to the lowest polymorph of the same formula is 18.1 kJ per mole of atoms.

=====

[5]
A plane-wave DFT calculation with PBE was carried out for crystalline Sr2Be at its relaxed geometry.

Cell lengths 4.4611, 4.4611, 7.2772 Å; angles 90.00, 90.00, 120.00 degrees
Last column: nearest neighbours and their distance in Å.
Fractional coordinates of all 3 atoms:
Sr1 0.3333 0.6667 0.2406  3 Be 3.11
Sr2 0.6667 0.3333 0.7594  3 Be 3.11
Be1 0.0000 0.0000 0.0000  6 Sr 3.11

Values from the calculation:
The formation enthalpy at 0 K comes out at 0.46 eV/atom. As for the symmetry: P-3m1. The distance to the lowest polymorph of the same formula is 15.1 kJ per mole of atoms.

=====

[6]
A plane-wave DFT calculation with PBE was carried out for crystalline Sr2Be at its relaxed geometry.

Cell lengths 7.4767, 7.4767, 7.5747 Å; angles 90.00, 90.00, 148.58 degrees
Last column: nearest neighbours and their distance in Å.
Fractional coordinates of all 6 atoms:
Sr1 0.9799 0.0201 0.7036  4 Be 3.23-3.25
Sr2 0.0201 0.9799 0.2036  4 Be 3.23-3.25
Be1 0.3866 0.6134 0.4224  7 Sr 3.23-3.30
Sr3 0.7229 0.2771 0.5398  3 Be 3.23-3.30
Sr4 0.2771 0.7229 0.0398  3 Be 3.23-3.30
Be2 0.6134 0.3866 0.9224  7 Sr 3.23-3.30

Values from the calculation:
The formation enthalpy at 0 K comes out at 0.40 eV/atom. As for the symmetry: Cmc2_1. The distance to the lowest polymorph of the same formula is 9.2 kJ per mole of atoms.